This record from Alexandria via LeMat-Bulk describes a geometry-optimized AcMgAu structure. The functional is GGA-PBE.

Geometry as POSCAR:
```
AcMgAu
1.0
7.656 0.000 0.000
0.000 4.764 0.000
0.000 0.000 8.971
Ac Mg Au
4 4 4
Direct
0.036 0.250 0.180
0.464 0.750 0.680
0.536 0.250 0.320
0.964 0.750 0.820
0.135 0.250 0.558
0.365 0.750 0.058
0.635 0.250 0.942
0.865 0.750 0.442
0.233 0.750 0.382
0.267 0.250 0.882
0.733 0.750 0.118
0.767 0.250 0.618
```

Computed properties:
Calculated volume ... 27.263 Å³/atom
Energy relative to the elements ... -0.624 eV per atom
Space-group type ... Pnma
Distance to the lowest polymorph of the same formula ... 0.06 eV per formula unit
Total magnetic moment ... 0.0 μB per formula unit